# RbPdN2

A relaxed RbPdN2 crystal (PBE, the Alexandria database).

## Properties
Total magnetization, μB per atom: 0.000
Space group: P-1, No. 2
Excess energy over the best structure of this formula in the dataset, kJ/mol of formula units: 0.0
Energy relative to the elements, uncorrected, eV per atom: 0.0776

a = 3.3959 Å, b = 4.3501 Å, c = 12.6705 Å
α = 80.18°, β = 89.71°, γ = 88.83°
With the nearest neighbours (Å) after each atom.
Positions (direct):
Rb 0.2509 0.6369 0.7245  4 N 3.10-3.14, 2 Pd 3.13, 2 Rb 3.40
Rb 0.7491 0.3631 0.2755  4 N 3.10-3.14, 2 Pd 3.13, 2 Rb 3.40
Pd 0.0000 0.5000 0.5000  4 Pd 2.73-2.79
Pd 0.5000 0.0000 0.5000  4 Pd 2.73-2.79
N 0.7512 0.9236 0.8898  1 N 1.14
N 0.2488 0.0764 0.1102  1 N 1.14
N 0.7489 0.1850 0.8898  1 N 1.14
N 0.2511 0.8150 0.1102  1 N 1.14

=====

# Pt2Rh

A relaxed Pt2Rh crystal (PBE, the Alexandria database).

## Properties
Total magnetization, μB per atom: 0.272
Calculated formation energy, eV per atom: 0.049
Space group: Cm, No. 8

a = 7.3114 Å, b = 2.7529 Å, c = 5.3918 Å
α = 75.21°, β = 118.78°, γ = 100.85°
With the nearest neighbours (Å) after each atom.
Positions (direct):
Pt 0.0024 0.9980 0.0064  8 Pt 2.75-2.84, 4 Rh 2.78-2.84
Pt 0.7220 0.6116 0.4987  8 Pt 2.75-2.84, 4 Rh 2.79
Pt 0.6653 0.3349 0.9955  9 Pt 2.75-2.82, 3 Rh 2.81-2.86
Pt 0.3317 0.6670 0.9977  7 Pt 2.75-2.83, 5 Rh 2.79-2.82
Rh 0.3848 0.9427 0.4994  4 Rh 2.71-2.75, 8 Pt 2.78-2.82
Rh 0.0605 0.2791 0.5024  4 Rh 2.71-2.75, 8 Pt 2.79-2.86

=====

# LiFe3Sn

A relaxed LiFe3Sn crystal (PBE, the Alexandria database).

## Properties
Total magnetization, μB per atom: 1.546
Calculated formation energy, eV per atom: 0.775
Space group: Pm-3m, No. 221
Excess energy over the best structure of this formula in the dataset, kJ/mol of formula units: 0.0

a = 4.1955 Å, b = 4.1955 Å, c = 4.1955 Å
α = 90.00°, β = 90.00°, γ = 90.00°
With the nearest neighbours (Å) after each atom.
Positions (direct):
Li 0.0000 0.0000 0.0000  6 Fe 2.10
Sn 0.5000 0.5000 0.5000  12 Fe 2.97
Fe 0.0000 0.5000 0.0000  2 Li 2.10
Fe 0.0000 0.0000 0.5000  2 Li 2.10
Fe 0.5000 0.0000 0.0000  2 Li 2.10

=====

Which value of total magnetization does entry 1 give?
0.000 μB per atom

=====

What is the formula in the first record?
RbPdN2

=====

Among the records above, which one has the lowest total magnetization?
RbPdN2

=====

Among the records above, which one has the lowest total magnetization?
RbPdN2